--- i ---
Material: CaBi3Au3
Method: DFT, PBE-GGA
State: relaxed

Output
Space-group type: No. 223

POSCAR file:
```
CaBi3Au3
1.0
7.8564 0.0000 0.0000
0.0000 7.8564 0.0000
0.0000 0.0000 7.8564
Ca Bi Au
2 6 6
direct
0.0000 0.0000 0.0000 Ca
0.5000 0.5000 0.5000 Ca
0.0000 0.2500 0.5000 Bi
0.0000 0.7500 0.5000 Bi
0.2500 0.5000 0.0000 Bi
0.5000 0.0000 0.2500 Bi
0.5000 0.0000 0.7500 Bi
0.7500 0.5000 0.0000 Bi
0.0000 0.5000 0.2500 Au
0.0000 0.5000 0.7500 Au
0.2500 0.0000 0.5000 Au
0.5000 0.2500 0.0000 Au
0.5000 0.7500 0.0000 Au
0.7500 0.0000 0.5000 Au
```

--- ii ---
Material: CaBi3Au3
Method: DFT, PBE-GGA
State: relaxed

Output
Space-group type: No. 166

POSCAR file:
```
CaBi3Au3
1.0
3.8940 2.2482 7.0035
-3.8940 2.2482 7.0035
0.0000 -4.4964 7.0035
Ca Bi Au
2 6 6
direct
0.0841 0.0841 0.0841 Ca
0.9159 0.9159 0.9159 Ca
0.0810 0.6235 0.6235 Bi
0.3765 0.3765 0.9190 Bi
0.3765 0.9190 0.3765 Bi
0.6235 0.0810 0.6235 Bi
0.6235 0.6235 0.0810 Bi
0.9190 0.3765 0.3765 Bi
0.2139 0.2139 0.6008 Au
0.2139 0.6008 0.2139 Au
0.3992 0.7861 0.7861 Au
0.6008 0.2139 0.2139 Au
0.7861 0.3992 0.7861 Au
0.7861 0.7861 0.3992 Au
```

Most stable of them? ii.

--- i ---
Material: Cd3BiAu
Method: DFT, PBE-GGA
State: relaxed

Output
Space-group type: No. 221

POSCAR file:
```
Cd3BiAu
1.0
5.2716 0.0000 0.0000
0.0000 5.2716 0.0000
0.0000 0.0000 5.2716
Cd Bi Au
3 1 1
direct
0.0000 0.0000 0.5000 Cd
0.0000 0.5000 0.0000 Cd
0.5000 0.0000 0.0000 Cd
0.5000 0.5000 0.5000 Bi
0.0000 0.0000 0.0000 Au
```

--- ii ---
Material: Cd3BiAu
Method: DFT, PBE-GGA
State: relaxed

Output
Space-group type: No. 14

POSCAR file:
```
Cd3BiAu
1.0
7.5060 0.0000 0.0000
0.0000 7.2426 0.0000
-3.9967 0.0000 9.0696
Cd Bi Au
12 4 4
direct
0.0765 0.1988 0.0515 Cd
0.0765 0.3012 0.5515 Cd
0.2814 0.5494 0.9775 Cd
0.2814 0.9506 0.4775 Cd
0.4037 0.6210 0.7005 Cd
0.4037 0.8790 0.2005 Cd
0.5963 0.1210 0.7995 Cd
0.5963 0.3790 0.2995 Cd
0.7186 0.0494 0.5225 Cd
0.7186 0.4506 0.0225 Cd
0.9235 0.6988 0.4485 Cd
0.9235 0.8012 0.9485 Cd
0.1467 0.5569 0.2644 Bi
0.1467 0.9431 0.7644 Bi
0.8533 0.0569 0.2356 Bi
0.8533 0.4431 0.7356 Bi
0.4304 0.1845 0.0190 Au
0.4304 0.3155 0.5190 Au
0.5696 0.6845 0.4810 Au
0.5696 0.8155 0.9810 Au
```

--- iii ---
Material: Cd3BiAu
Method: DFT, PBE-GGA
State: relaxed

Output
Space-group type: No. 11

POSCAR file:
```
Cd3BiAu
1.0
4.8706 0.0000 0.0000
0.0000 5.8831 0.0000
-0.9301 0.0000 8.8645
Cd Bi Au
6 2 2
direct
0.1385 0.2500 0.4589 Cd
0.2260 0.0006 0.8756 Cd
0.2260 0.4994 0.8756 Cd
0.7740 0.5006 0.1244 Cd
0.7740 0.9994 0.1244 Cd
0.8615 0.7500 0.5411 Cd
0.3159 0.7500 0.3259 Bi
0.6841 0.2500 0.6741 Bi
0.2812 0.2500 0.1590 Au
0.7188 0.7500 0.8410 Au
```

Most stable of them? iii.

--- i ---
Material: Cd2BiAu2
Method: DFT, PBE-GGA
State: relaxed

Output
Space-group type: No. 127

POSCAR file:
```
Cd2BiAu2
1.0
8.3950 0.0000 0.0000
0.0000 8.3950 0.0000
0.0000 0.0000 3.1539
Cd Bi Au
4 2 4
direct
0.1291 0.3709 0.0000 Cd
0.3709 0.8709 0.0000 Cd
0.6291 0.1291 0.0000 Cd
0.8709 0.6291 0.0000 Cd
0.0000 0.0000 0.0000 Bi
0.5000 0.5000 0.0000 Bi
0.1671 0.6671 0.5000 Au
0.3329 0.1671 0.5000 Au
0.6671 0.8329 0.5000 Au
0.8329 0.3329 0.5000 Au
```

--- ii ---
Material: Cd2BiAu2
Method: DFT, PBE-GGA
State: relaxed

Output
Space-group type: No. 139

POSCAR file:
```
Cd2BiAu2
1.0
4.1297 0.0000 0.0000
0.0000 4.1297 0.0000
0.0000 0.0000 13.5198
Cd Bi Au
4 2 4
direct
0.0000 0.5000 0.2500 Cd
0.0000 0.5000 0.7500 Cd
0.5000 0.0000 0.2500 Cd
0.5000 0.0000 0.7500 Cd
0.0000 0.0000 0.0000 Bi
0.5000 0.5000 0.5000 Bi
0.0000 0.0000 0.3981 Au
0.0000 0.0000 0.6019 Au
0.5000 0.5000 0.1019 Au
0.5000 0.5000 0.8981 Au
```

--- iii ---
Material: Cd2BiAu2
Method: DFT, PBE-GGA
State: relaxed

Output
Space-group type: No. 139

POSCAR file:
```
Cd2BiAu2
1.0
3.9744 0.0000 0.0000
0.0000 3.9744 0.0000
0.0000 0.0000 15.0299
Cd Bi Au
4 2 4
direct
0.0000 0.0000 0.1075 Cd
0.0000 0.0000 0.8925 Cd
0.5000 0.5000 0.3925 Cd
0.5000 0.5000 0.6075 Cd
0.0000 0.0000 0.5000 Bi
0.5000 0.5000 0.0000 Bi
0.0000 0.5000 0.2500 Au
0.0000 0.5000 0.7500 Au
0.5000 0.0000 0.2500 Au
0.5000 0.0000 0.7500 Au
```

--- iv ---
Material: Cd2BiAu2
Method: DFT, PBE-GGA
State: relaxed

Output
Space-group type: No. 127

POSCAR file:
```
Cd2BiAu2
1.0
8.2222 0.0000 0.0000
0.0000 8.2222 0.0000
0.0000 0.0000 3.2881
Cd Bi Au
4 2 4
direct
0.1608 0.3392 0.0000 Cd
0.3392 0.8392 0.0000 Cd
0.6608 0.1608 0.0000 Cd
0.8392 0.6608 0.0000 Cd
0.0000 0.0000 0.5000 Bi
0.5000 0.5000 0.5000 Bi
0.1344 0.6344 0.5000 Au
0.3656 0.1344 0.5000 Au
0.6344 0.8656 0.5000 Au
0.8656 0.3656 0.5000 Au
```

Most stable of them? iv.

--- i ---
Material: Cd2Bi2Au
Method: DFT, PBE-GGA
State: relaxed

Output
Space-group type: No. 139

POSCAR file:
```
Cd2Bi2Au
1.0
3.9965 0.0000 0.0000
0.0000 3.9965 0.0000
0.0000 0.0000 16.9445
Cd Bi Au
4 4 2
direct
0.0000 0.5000 0.2500 Cd
0.0000 0.5000 0.7500 Cd
0.5000 0.0000 0.2500 Cd
0.5000 0.0000 0.7500 Cd
0.0000 0.0000 0.0952 Bi
0.0000 0.0000 0.9048 Bi
0.5000 0.5000 0.4048 Bi
0.5000 0.5000 0.5952 Bi
0.0000 0.0000 0.5000 Au
0.5000 0.5000 0.0000 Au
```

--- ii ---
Material: Cd2Bi2Au
Method: DFT, PBE-GGA
State: relaxed

Output
Space-group type: No. 127

POSCAR file:
```
Cd2Bi2Au
1.0
7.9508 0.0000 0.0000
0.0000 7.9508 0.0000
0.0000 0.0000 4.5101
Cd Bi Au
4 4 2
direct
0.1328 0.3672 0.0000 Cd
0.3672 0.8672 0.0000 Cd
0.6328 0.1328 0.0000 Cd
0.8672 0.6328 0.0000 Cd
0.1795 0.6795 0.5000 Bi
0.3205 0.1795 0.5000 Bi
0.6795 0.8205 0.5000 Bi
0.8205 0.3205 0.5000 Bi
0.0000 0.0000 0.5000 Au
0.5000 0.5000 0.5000 Au
```

Most stable of them? ii.